[1]
SrTb2Er | PBE-GGA | optimized geometry

Summary:
Symmetry   R3m
Fermi-level density of states   5.6 states/eV/cell
E_form   0.128 eV per atom
Raw total energy   -14.99 eV per cell

a b c (Å): 3.6643 3.6643 12.3086
angles (deg): 81.44 81.44 60.00
Sites, in units of the cell vectors:
1 Sr 0.5005 0.5005 0.4986
2 Tb 0.0764 0.0764 0.7707
3 Tb 0.2568 0.2568 0.2296
4 Er 0.6663 0.6663 0.0010


[2]
Sr3Tb3ErTe8 | PBE-GGA | optimized geometry

Summary:
Symmetry   R-3m
Fermi-level density of states   4.9 states/eV/cell
Raw total energy   -71.40 eV per cell
E_form (uncorrected)   -1.5177 eV/atom

a b c (Å): 8.8926 8.8930 9.2039
angles (deg): 118.89 90.00 120.00
Sites, in units of the cell vectors:
1 Sr 0.0000 0.0000 0.0000
2 Sr 0.0000 0.5000 0.0000
3 Sr 0.5000 0.5000 0.0000
4 Tb 0.5000 0.0000 0.5000
5 Tb 0.5000 0.5000 0.5000
6 Tb 0.0000 0.5000 0.5000
7 Er 0.0000 0.0000 0.5000
8 Te 0.2560 0.5121 0.2679
9 Te 0.7440 0.4879 0.7321
10 Te 0.7561 0.5122 0.2699
11 Te 0.2439 0.4878 0.7301
12 Te 0.7562 0.0139 0.2703
13 Te 0.2438 0.9861 0.7297
14 Te 0.2576 0.0139 0.2703
15 Te 0.7424 0.9861 0.7297


[3]
Sr3Tb2ErTe6 | PBE-GGA | optimized geometry

Summary:
Symmetry   C2/m
Fermi-level density of states   5.1 states/eV/cell
Raw total energy   -55.58 eV per cell
E_form (uncorrected)   -1.4886 eV/atom

a b c (Å): 7.7685 7.7685 7.9678
angles (deg): 99.37 99.37 119.93
Sites, in units of the cell vectors:
1 Sr 0.1680 0.8320 0.5000
2 Sr 0.8320 0.1680 0.5000
3 Sr 0.5000 0.5000 0.5000
4 Tb 0.3341 0.6659 0.0000
5 Tb 0.6659 0.3341 0.0000
6 Er 0.0000 0.0000 0.0000
7 Te 0.9235 0.5931 0.7697
8 Te 0.7473 0.7473 0.2317
9 Te 0.0765 0.4069 0.2303
10 Te 0.5931 0.9235 0.7697
11 Te 0.2527 0.2527 0.7683
12 Te 0.4069 0.0765 0.2303